Entry 1:
Here is crystalline KBeCdGa2 at its relaxed geometry from Alexandria. Energies are from PBE.

a = 5.1723 Å, b = 6.3778 Å, c = 5.1723 Å
α = 90.00°, β = 90.00°, γ = 90.00°
With the nearest neighbours (Å) after each atom.
Positions (direct):
1 Be 0.5000 0.5000 0.5000  4 K 3.66
2 K 0.0000 0.5000 0.0000  2 Cd 3.19
3 Ga 0.0000 0.0000 0.5000  2 Cd 2.59
4 Ga 0.5000 0.0000 0.0000  2 Cd 2.59
5 Cd 0.0000 0.0000 0.0000  4 Ga 2.59

The calculation puts the formation energy at 0.845 eV per atom. Its space-group type is No. 123. The value obtained for the magnetic moment is 0.0 μB/cell.


Entry 2:
Here is crystalline YHo12Sc3 at its relaxed geometry from Alexandria. Energies are from PBE.

a = 4.9236 Å, b = 4.9236 Å, c = 19.6433 Å
α = 90.00°, β = 90.00°, γ = 90.00°
With the nearest neighbours (Å) after each atom.
Positions (direct):
1 Y 0.0000 0.0000 0.0000  12 Ho 3.48-3.54
2 Ho 0.5000 0.5000 0.0000  4 Y 3.48, 8 Ho 3.54
3 Ho 0.5000 0.5000 0.2531  8 Ho 3.45-3.46, 4 Sc 3.48
4 Ho 0.5000 0.5000 0.5000  8 Ho 3.46, 4 Sc 3.48
5 Ho 0.5000 0.5000 0.7469  8 Ho 3.45-3.46, 4 Sc 3.48
6 Ho 0.5000 0.0000 0.1292  2 Sc 3.45, 8 Ho 3.46-3.54, 2 Y 3.54
7 Ho 0.5000 0.0000 0.3763  8 Ho 3.45-3.48, 4 Sc 3.46
8 Ho 0.5000 0.0000 0.6237  8 Ho 3.45-3.48, 4 Sc 3.46
9 Ho 0.5000 0.0000 0.8708  2 Sc 3.45, 8 Ho 3.46-3.54, 2 Y 3.54
10 Ho 0.0000 0.5000 0.1292  2 Sc 3.45, 8 Ho 3.46-3.54, 2 Y 3.54
11 Ho 0.0000 0.5000 0.3763  8 Ho 3.45-3.48, 4 Sc 3.46
12 Ho 0.0000 0.5000 0.6237  8 Ho 3.45-3.48, 4 Sc 3.46
13 Ho 0.0000 0.5000 0.8708  2 Sc 3.45, 8 Ho 3.46-3.54, 2 Y 3.54
14 Sc 0.0000 0.0000 0.2524  12 Ho 3.45-3.48
15 Sc 0.0000 0.0000 0.5000  12 Ho 3.46-3.48
16 Sc 0.0000 0.0000 0.7476  12 Ho 3.45-3.48

The calculation puts the formation energy at 0.038 eV per atom. Its space-group type is No. 123. The value obtained for the magnetic moment is 0.0 μB/cell.


Entry 3:
Here is crystalline Ti5Zn2Ir at its relaxed geometry from Alexandria. Energies are from PBE.

a = 4.5233 Å, b = 4.5233 Å, c = 6.9001 Å
α = 109.13°, β = 109.13°, γ = 90.00°
With the nearest neighbours (Å) after each atom.
Positions (direct):
1 Ti 0.5000 0.5000 0.0000  8 Ti 2.70, 2 Zn 3.03
2 Ti 0.8790 0.3790 0.7581  3 Ti 2.70-2.96, 2 Ir 2.70, 4 Zn 2.74-2.78
3 Ti 0.3790 0.8790 0.7581  2 Ir 2.70, 3 Ti 2.70-2.96, 4 Zn 2.74-2.78
4 Ti 0.1210 0.6210 0.2419  3 Ti 2.70-2.96, 2 Ir 2.70, 4 Zn 2.74-2.78
5 Ti 0.6210 0.1210 0.2419  2 Ir 2.70, 3 Ti 2.70-2.96, 4 Zn 2.74-2.78
6 Zn 0.7474 0.7474 0.4949  9 Ti 2.74-3.03
7 Zn 0.2526 0.2526 0.5051  9 Ti 2.74-3.03
8 Ir 0.0000 0.0000 0.0000  8 Ti 2.70

The calculation puts the formation energy at -0.348 eV per atom. Its space-group type is No. 139. The value obtained for the magnetic moment is 0.0 μB/cell. The calculation puts the offset from the most stable computed form at 0.000 eV/atom.


Entry 4:
Here is crystalline PaAs2Se at its relaxed geometry from Alexandria. Energies are from PBE.

a = 4.3140 Å, b = 4.3140 Å, c = 8.2168 Å
α = 74.78°, β = 74.78°, γ = 60.00°
With the nearest neighbours (Å) after each atom.
Positions (direct):
1 As 0.1074 0.1074 0.6779  1 Se 2.52
2 As 0.8926 0.8926 0.3221  1 Se 2.52
3 Pa 0.5000 0.5000 0.5000  6 As 2.85
4 Se 0.0000 0.0000 0.0000  2 As 2.52

Its space-group type is No. 166. The value obtained for the magnetic moment is 0.9 μB/cell. For the formation energy (no corrections), the calculation gives -0.14 eV per atom.


Entry 5:
Here is crystalline CrInNi2 at its relaxed geometry from Alexandria. Energies are from PBE.

a = 3.7913 Å, b = 3.7913 Å, c = 8.7916 Å
α = 77.55°, β = 77.55°, γ = 90.00°
With the nearest neighbours (Å) after each atom.
Positions (direct):
1 Ni 0.5878 0.1250 0.2500  2 Cr 2.44, 2 Ni 2.49, 2 In 2.54
2 Ni 0.1622 0.6250 0.2500  2 Cr 2.44, 2 Ni 2.49, 2 In 2.54
3 Ni 0.3750 0.4122 0.7500  2 Cr 2.44, 2 Ni 2.49, 2 In 2.54
4 Ni 0.8750 0.8378 0.7500  2 Cr 2.44, 2 Ni 2.49, 2 In 2.54
5 Cr 0.5000 0.5000 0.0000  4 Ni 2.44, 4 In 2.68
6 Cr 0.2500 0.7500 0.5000  4 Ni 2.44, 4 In 2.68
7 In 0.0000 0.0000 0.0000  4 Ni 2.54, 4 Cr 2.68
8 In 0.7500 0.2500 0.5000  4 Ni 2.54, 4 Cr 2.68

The calculation puts the formation energy at 0.640 eV per atom. Its space-group type is No. 122. The value obtained for the magnetic moment is 0.0 μB/cell.


Entry 6:
Here is crystalline RuPtSe2 at its relaxed geometry from Alexandria. Energies are from PBE.

a = 3.3569 Å, b = 3.5892 Å, c = 6.4064 Å
α = 90.00°, β = 90.00°, γ = 90.00°
With the nearest neighbours (Å) after each atom.
Positions (direct):
1 Pt 0.0000 0.0000 0.4988  5 Se 2.51-2.60
2 Ru 0.5000 0.5000 0.7457  5 Se 2.44-2.63
3 Se 0.0000 0.0000 0.8906  1 Pt 2.51, 4 Ru 2.63
4 Se 0.5000 0.5000 0.3649  1 Ru 2.44, 4 Pt 2.60

Its space-group type is No. 25. The value obtained for the magnetic moment is 0.0 μB/cell. For the formation energy (no corrections), the calculation gives -0.01 eV per atom. The calculation puts the offset from the most stable computed form at 0.070 eV/atom.


Entry 7:
Here is crystalline LiGe3Te at its relaxed geometry from Alexandria. Energies are from PBE.

a = 4.7572 Å, b = 4.7572 Å, c = 4.7572 Å
α = 90.00°, β = 90.00°, γ = 90.00°
With the nearest neighbours (Å) after each atom.
Positions (direct):
1 Ge 0.0000 0.5000 0.0000  2 Li 2.38
2 Ge 0.0000 0.0000 0.5000  2 Li 2.38
3 Ge 0.5000 0.0000 0.0000  2 Li 2.38
4 Te 0.5000 0.5000 0.5000  12 Ge 3.36
5 Li 0.0000 0.0000 0.0000  6 Ge 2.38

Its space-group type is No. 221. The value obtained for the magnetic moment is 0.0 μB/cell. For the formation energy (no corrections), the calculation gives 0.38 eV per atom. The calculation puts the offset from the most stable computed form at 0.000 eV/atom.


Entry 8:
Here is crystalline Ga5RuRh4 at its relaxed geometry from Alexandria. Energies are from PBE.

a = 3.0376 Å, b = 3.0376 Å, c = 15.1395 Å
α = 90.00°, β = 90.00°, γ = 90.00°
With the nearest neighbours (Å) after each atom.
Positions (direct):
1 Ga 0.5000 0.5000 0.0958  4 Ru 2.59, 4 Rh 2.67, 1 Ga 2.90
2 Ga 0.5000 0.5000 0.2978  8 Rh 2.60-2.65
3 Ga 0.5000 0.5000 0.5000  8 Rh 2.63
4 Ga 0.5000 0.5000 0.7022  8 Rh 2.60-2.65
5 Ga 0.5000 0.5000 0.9042  4 Ru 2.59, 4 Rh 2.67, 1 Ga 2.90
6 Ru 0.0000 0.0000 0.0000  8 Ga 2.59
7 Rh 0.0000 0.0000 0.2010  8 Ga 2.60-2.67
8 Rh 0.0000 0.0000 0.4002  8 Ga 2.63-2.65
9 Rh 0.0000 0.0000 0.5998  8 Ga 2.63-2.65
10 Rh 0.0000 0.0000 0.7990  8 Ga 2.60-2.67

The calculation puts the formation energy at -0.632 eV per atom. Its space-group type is No. 123. The value obtained for the magnetic moment is 0.0 μB/cell.


Entry 9:
Here is crystalline CaReRh2 at its relaxed geometry from Alexandria. Energies are from PBE.

a = 2.7667 Å, b = 5.4120 Å, c = 5.4784 Å
α = 53.35°, β = 90.00°, γ = 90.00°
With the nearest neighbours (Å) after each atom.
Positions (direct):
1 Re 0.0000 0.0000 0.5000  6 Rh 2.74-2.81, 2 Re 2.77, 4 Ca 3.04
2 Ca 0.5000 0.5000 0.5000  6 Rh 2.74-2.81, 2 Ca 2.77, 4 Re 3.04
3 Rh 0.0000 0.0000 0.0000  2 Re 2.74, 6 Rh 2.77-3.04, 4 Ca 2.81
4 Rh 0.5000 0.5000 0.0000  2 Ca 2.74, 6 Rh 2.77-3.04, 4 Re 2.81

The calculation puts the formation energy at 0.297 eV per atom. Its space-group type is No. 10. The value obtained for the magnetic moment is 0.0 μB/cell. The calculation puts the offset from the most stable computed form at 0.361 eV/atom.


Entry 10:
Here is crystalline AcLa2DyHo5 at its relaxed geometry from Alexandria. Energies are from PBE.

a = 8.7956 Å, b = 8.7956 Å, c = 10.0766 Å
α = 115.88°, β = 115.88°, γ = 90.00°
With the nearest neighbours (Å) after each atom.
Positions (direct):
1 Ac 0.2500 0.2500 0.5000  10 Ho 3.62-3.96
2 Ac 0.7500 0.7500 0.5000  10 Ho 3.62-3.96
3 La 0.1170 0.3830 0.0000  1 La 2.91, 2 Ho 3.04
4 La 0.6170 0.1170 0.0000  1 La 2.91, 2 Ho 3.04
5 La 0.3830 0.8830 0.0000  1 La 2.91, 2 Ho 3.04
6 La 0.8830 0.6170 0.0000  1 La 2.91, 2 Ho 3.04
7 Dy 0.2500 0.7500 0.5000  4 Ho 3.19
8 Dy 0.7500 0.2500 0.5000  4 Ho 3.19
9 Ho 0.9249 0.4249 0.2731  1 La 3.04, 1 Dy 3.19
10 Ho 0.6518 0.1518 0.7269  1 La 3.04, 1 Dy 3.19
11 Ho 0.0751 0.5751 0.7269  1 La 3.04, 1 Dy 3.19
12 Ho 0.1518 0.0751 0.7269  1 La 3.04, 1 Dy 3.19
13 Ho 0.5751 0.6518 0.7269  1 La 3.04, 1 Dy 3.19
14 Ho 0.8482 0.9249 0.2731  1 La 3.04, 1 Dy 3.19
15 Ho 0.4249 0.3482 0.2731  1 La 3.04, 1 Dy 3.19
16 Ho 0.3482 0.8482 0.2731  1 La 3.04, 1 Dy 3.19
17 Ho 0.5000 0.5000 0.0000  4 La 3.52, 8 Ho 3.82
18 Ho 0.0000 0.0000 0.0000  4 La 3.52, 8 Ho 3.82

The calculation puts the formation energy at 0.253 eV per atom. Its space-group type is No. 140. The value obtained for the magnetic moment is 0.0 μB/cell.


Entry 11:
Here is crystalline KZn2S2 at its relaxed geometry from Alexandria. Energies are from PBE.

a = 4.3564 Å, b = 4.3564 Å, c = 7.0733 Å
α = 72.06°, β = 72.06°, γ = 90.00°
With the nearest neighbours (Å) after each atom.
Positions (direct):
1 S 0.3432 0.3432 0.3136  4 Zn 2.48
2 S 0.6568 0.6568 0.6864  4 Zn 2.48
3 Zn 0.7500 0.2500 0.5000  4 S 2.48
4 Zn 0.2500 0.7500 0.5000  4 S 2.48
5 K 0.0000 0.0000 0.0000  8 S 3.67, 8 Zn 3.86

Its space-group type is No. 139. The value obtained for the magnetic moment is 0.0 μB/cell. For the formation energy (no corrections), the calculation gives -0.56 eV per atom. The calculation puts the offset from the most stable computed form at 0.000 eV/atom.


Entry 12:
Here is crystalline Mn2AgRh at its relaxed geometry from Alexandria. Energies are from PBE.

a = 4.6058 Å, b = 4.6058 Å, c = 4.9798 Å
α = 79.21°, β = 79.21°, γ = 36.75°
With the nearest neighbours (Å) after each atom.
Positions (direct):
1 Ag 0.2500 0.2500 0.2500  6 Mn 2.73-2.77, 4 Rh 2.88, 2 Ag 2.90
2 Mn 0.0056 0.0056 0.9833  3 Rh 2.65-2.71, 3 Ag 2.73-2.77, 4 Mn 2.76-2.90
3 Mn 0.4944 0.4944 0.5167  3 Rh 2.65-2.71, 3 Ag 2.73-2.77, 4 Mn 2.76-2.90
4 Rh 0.7500 0.7500 0.7500  6 Mn 2.65-2.71, 4 Ag 2.88, 2 Rh 2.90

The calculation puts the formation energy at 0.233 eV per atom. Its space-group type is No. 12. The value obtained for the magnetic moment is 8.2 μB/cell.